(1)
A plane-wave DFT calculation with GGA-PBE was carried out for LaGdMgOs after structural relaxation.

The calculation puts the calculated formation energy at -0.02 eV/atom.

a = 5.142 Å, b = 5.142 Å, c = 5.142 Å
α = 60.00°, β = 60.00°, γ = 60.00°
Site moments in Bohr magnetons follow the coordinates.
Sites, in units of the cell vectors:
La 0.250 0.250 0.250  0.01
Gd 0.750 0.750 0.750  7.03
Os 0.500 0.500 0.500  -0.15
Mg 0.000 0.000 0.000  -0.01

(2)
A plane-wave DFT calculation with GGA-PBE was carried out for Rb2YCo after structural relaxation.

The calculation puts the calculated formation energy at 0.83 eV/atom. As for the energy above the lowest structure with this stoichiometry: 0 meV per atom.

a = 13.304 Å, b = 13.304 Å, c = 9.720 Å
α = 46.81°, β = 46.81°, γ = 90.00°
Site moments in Bohr magnetons follow the coordinates.
Sites, in units of the cell vectors:
Y 0.750 0.250 0.500  0.23
Co 0.250 0.750 0.500  -0.60
Co 0.500 0.500 0.000  -0.61
Rb 0.875 0.717 0.750  0.01
Y 0.000 0.000 0.000  0.22
Rb 0.375 0.533 0.750  0.01
Rb 0.467 0.125 0.250  0.01
Rb 0.283 0.625 0.250  0.01

(3)
A plane-wave DFT calculation with GGA-PBE was carried out for Sr2CaBBr after structural relaxation.

Its energy is -2.27 eV/atom.

a = 5.812 Å, b = 5.434 Å, c = 5.812 Å
α = 90.00°, β = 90.00°, γ = 90.00°
Sites, in units of the cell vectors:
Sr 0.000 0.000 0.500
Ca 0.000 0.500 0.000
B 0.500 0.500 0.500
Br 0.000 0.000 0.000
Sr 0.500 0.000 0.000

(4)
A plane-wave DFT calculation with GGA-PBE was carried out for Pm3Zn9Ge2 after structural relaxation.

The calculation puts the calculated formation energy at -0.36 eV/atom.

a = 4.363 Å, b = 8.240 Å, c = 8.240 Å
α = 72.64°, β = 74.65°, γ = 74.65°
Sites, in units of the cell vectors:
Zn 0.663 0.966 0.708
Ge 0.500 0.287 0.713
Pm 0.312 0.688 0.688
Ge 0.500 0.713 0.287
Zn 0.857 0.873 0.414
Zn 0.337 0.292 0.034
Pm 0.688 0.312 0.312
Zn 0.143 0.586 0.127
Zn 0.663 0.708 0.966
Pm 0.000 0.000 0.000
Zn 0.143 0.127 0.586
Zn 0.000 0.500 0.500
Zn 0.857 0.414 0.873
Zn 0.337 0.034 0.292

(5)
A plane-wave DFT calculation with GGA-PBE was carried out for AcDyLuCd after structural relaxation.

The calculation puts the calculated formation energy at -0.01 eV/atom.

a = 5.625 Å, b = 5.625 Å, c = 5.625 Å
α = 60.00°, β = 60.00°, γ = 60.00°
Sites, in units of the cell vectors:
Cd 0.750 0.750 0.750
Lu 0.250 0.250 0.250
Ac 0.000 0.000 0.000
Dy 0.500 0.500 0.500

(6)
A plane-wave DFT calculation with GGA-PBE was carried out for Tb2Nd2HoSc2 after structural relaxation.

The calculation puts the calculated formation energy at 0.15 eV/atom.

a = 3.413 Å, b = 8.507 Å, c = 8.572 Å
α = 116.56°, β = 90.00°, γ = 101.57°
Sites, in units of the cell vectors:
Tb 0.917 0.834 0.790
Sc 0.222 0.444 0.639
Tb 0.083 0.166 0.210
Ho 0.000 0.000 0.500
Nd 0.639 0.279 0.908
Sc 0.778 0.556 0.361
Nd 0.361 0.721 0.092

(7)
A plane-wave DFT calculation with GGA-PBE was carried out for La2ZnCu2O6 after structural relaxation.

Its energy is -6.17 eV/atom.

a = 5.795 Å, b = 5.795 Å, c = 6.237 Å
α = 62.32°, β = 62.32°, γ = 60.00°
Site moments in Bohr magnetons follow the coordinates.
Sites, in units of the cell vectors:
Cu 0.418 0.418 0.745  0.44
O 0.758 0.207 0.277  0.16
O 0.242 0.793 0.723  0.16
Cu 0.582 0.582 0.255  0.44
O 0.242 0.242 0.723  0.16
La 0.790 0.790 0.630  -0.01
Zn 0.000 0.000 0.000  0.04
O 0.758 0.758 0.277  0.16
O 0.793 0.242 0.723  0.16
O 0.207 0.758 0.277  0.16
La 0.210 0.210 0.370  -0.01

(8)
A plane-wave DFT calculation with GGA-PBE was carried out for FeCuTeAsOs after structural relaxation.

As for the energy above the lowest structure with this stoichiometry: 0 meV per atom.

a = 3.846 Å, b = 3.893 Å, c = 6.184 Å
α = 90.00°, β = 90.00°, γ = 90.00°
Site moments in Bohr magnetons follow the coordinates.
Sites, in units of the cell vectors:
Fe 0.000 0.500 0.572  1.77
As 0.000 0.000 0.828  -0.04
Te 0.500 0.500 0.292  -0.04
Os 0.500 0.000 0.575  0.04
Cu 0.500 0.500 0.870  0.00

(9)
A plane-wave DFT calculation with GGA-PBE was carried out for AgSb after structural relaxation.

As for the energy above the lowest structure with this stoichiometry: 89 meV per atom.

a = 7.338 Å, b = 8.877 Å, c = 11.599 Å
α = 90.00°, β = 90.00°, γ = 90.00°
Sites, in units of the cell vectors:
Sb 0.500 0.790 0.000
Sb 0.250 0.460 0.250
Sb 0.250 0.960 0.750
Sb 0.750 0.540 0.250
Ag 0.552 0.250 0.250
Sb 0.750 0.960 0.250
Ag 0.948 0.250 0.250
Sb 0.000 0.790 0.500
Sb 0.000 0.290 0.000
Ag 0.448 0.250 0.750
Ag 0.302 0.000 0.500
Sb 0.250 0.540 0.750
Ag 0.552 0.750 0.750
Ag 0.448 0.750 0.250
Ag 0.802 0.500 0.500
Ag 0.698 0.000 0.500
Ag 0.198 0.500 0.500
Sb 0.500 0.290 0.500
Ag 0.698 0.500 0.000
Ag 0.948 0.750 0.750
Sb 0.000 0.210 0.500
Ag 0.052 0.250 0.750
Sb 0.250 0.040 0.250
Ag 0.802 0.000 0.000
Sb 0.000 0.710 0.000
Ag 0.198 0.000 0.000
Sb 0.500 0.710 0.500
Sb 0.750 0.460 0.750
Ag 0.302 0.500 0.000
Ag 0.052 0.750 0.250
Sb 0.750 0.040 0.750
Sb 0.500 0.210 0.000

(10)
A plane-wave DFT calculation with GGA-PBE was carried out for Rb3GaSb2 after structural relaxation.

Its energy is -2.61 eV/atom.

a = 4.481 Å, b = 10.377 Å, c = 13.089 Å
α = 71.91°, β = 80.14°, γ = 77.53°
Sites, in units of the cell vectors:
Rb 0.960 0.843 0.238
Rb 0.040 0.157 0.762
Ga 0.426 0.498 0.650
Ga 0.574 0.502 0.350
Sb 0.860 0.499 0.780
Sb 0.140 0.501 0.220
Sb 0.581 0.294 0.543
Rb 0.340 0.317 0.003
Rb 0.771 0.841 0.617
Rb 0.229 0.159 0.383
Sb 0.419 0.706 0.457
Rb 0.660 0.683 0.997

(11)
A plane-wave DFT calculation with GGA-PBE was carried out for CdS after structural relaxation.

Its energy is -3.16 eV/atom.

a = 4.196 Å, b = 4.196 Å, c = 6.833 Å
α = 90.00°, β = 90.00°, γ = 120.00°
Sites, in units of the cell vectors:
Cd 0.833 0.167 0.499
S 0.834 0.166 0.876
S 0.166 0.834 0.376
Cd 0.167 0.833 0.999

(12)
A plane-wave DFT calculation with GGA-PBE was carried out for La2TbTh3As6 after structural relaxation.

The calculation puts the calculated formation energy at -1.49 eV/atom.

a = 4.276 Å, b = 8.542 Å, c = 9.561 Å
α = 102.97°, β = 102.92°, γ = 90.00°
Sites, in units of the cell vectors:
As 0.665 0.077 0.329
La 0.834 0.668 0.669
As 0.002 0.754 0.005
As 0.665 0.588 0.330
Th 0.500 0.500 0.000
Tb 0.500 0.000 0.000
Th 0.833 0.165 0.665
As 0.335 0.923 0.671
La 0.166 0.332 0.331
Th 0.167 0.835 0.335
As 0.998 0.246 0.995
As 0.335 0.412 0.670

(13)
A plane-wave DFT calculation with GGA-PBE was carried out for BeCdCu2 after structural relaxation.

The calculation puts the calculated formation energy at 0.02 eV/atom. As for the energy above the lowest structure with this stoichiometry: 0 meV per atom.

a = 2.842 Å, b = 2.842 Å, c = 6.477 Å
α = 90.00°, β = 90.00°, γ = 90.01°
Sites, in units of the cell vectors:
Cd 0.500 0.500 0.750
Cu 0.000 0.000 0.442
Cu 0.000 0.000 0.058
Be 0.500 0.500 0.250

(14)
A plane-wave DFT calculation with GGA-PBE was carried out for Rb3Np2FeSe6 after structural relaxation.

Its energy is -5.82 eV/atom.

a = 7.230 Å, b = 7.230 Å, c = 8.305 Å
α = 98.35°, β = 98.35°, γ = 119.96°
Site moments in Bohr magnetons follow the coordinates.
Sites, in units of the cell vectors:
Rb 0.500 0.500 0.500  0.00
Np 0.333 0.667 0.000  3.69
Se 0.616 0.937 0.812  -0.05
Se 0.384 0.063 0.188  -0.05
Se 0.937 0.616 0.812  -0.05
Se 0.063 0.384 0.188  -0.05
Np 0.667 0.333 0.000  3.69
Fe 0.000 0.000 0.000  3.25
Se 0.741 0.741 0.189  -0.05
Se 0.259 0.259 0.811  -0.05
Rb 0.168 0.832 0.500  0.00
Rb 0.832 0.168 0.500  0.00

(15)
A plane-wave DFT calculation with GGA-PBE was carried out for CaMnFe2 after structural relaxation.

The calculation puts the calculated formation energy at 0.54 eV/atom. As for the energy above the lowest structure with this stoichiometry: 191 meV per atom.

a = 5.438 Å, b = 5.438 Å, c = 5.438 Å
α = 147.72°, β = 128.03°, γ = 62.52°
Site moments in Bohr magnetons follow the coordinates.
Sites, in units of the cell vectors:
Mn 0.528 0.528 0.000  3.60
Ca 0.238 0.738 0.500  -0.11
Fe 0.964 0.964 0.000  2.59
Fe 0.770 0.270 0.500  2.35

(16)
A plane-wave DFT calculation with GGA-PBE was carried out for LiSm2Ho after structural relaxation.

The calculation puts the calculated formation energy at 0.16 eV/atom. As for the energy above the lowest structure with this stoichiometry: 96 meV per atom.

a = 3.492 Å, b = 3.492 Å, c = 12.448 Å
α = 81.94°, β = 81.94°, γ = 60.00°
Sites, in units of the cell vectors:
Li 0.000 0.000 0.000
Sm 0.089 0.089 0.733
Sm 0.911 0.911 0.267
Ho 0.500 0.500 0.500

(17)
A plane-wave DFT calculation with GGA-PBE was carried out for Cr2CoBr after structural relaxation.

As for the energy above the lowest structure with this stoichiometry: 120 meV per atom.

a = 3.062 Å, b = 3.062 Å, c = 6.801 Å
α = 90.00°, β = 90.00°, γ = 90.00°
Site moments in Bohr magnetons follow the coordinates.
Sites, in units of the cell vectors:
Co 0.500 0.500 0.750  0.63
Cr 0.000 0.000 0.953  3.18
Br 0.500 0.500 0.250  0.00
Cr 0.000 0.000 0.547  3.18

(18)
A plane-wave DFT calculation with GGA-PBE was carried out for La2MgGa4Ag3 after structural relaxation.

The calculation puts the calculated formation energy at -0.40 eV/atom.

a = 4.402 Å, b = 4.402 Å, c = 11.321 Å
α = 90.00°, β = 90.00°, γ = 90.00°
Sites, in units of the cell vectors:
Ag 0.000 0.500 0.130
Ga 0.500 0.000 0.644
Ag 0.500 0.000 0.870
La 0.500 0.000 0.244
Ga 0.000 0.500 0.356
Mg 0.500 0.500 0.500
Ga 0.500 0.500 0.000
La 0.000 0.500 0.756
Ga 0.000 0.000 0.000
Ag 0.000 0.000 0.500

(19)
A plane-wave DFT calculation with GGA-PBE was carried out for Cd2HgAu after structural relaxation.

The calculation puts the calculated formation energy at -0.07 eV/atom. As for the energy above the lowest structure with this stoichiometry: 15 meV per atom.

a = 3.767 Å, b = 3.076 Å, c = 8.027 Å
α = 68.74°, β = 90.00°, γ = 90.00°
Sites, in units of the cell vectors:
Cd 0.000 0.465 0.525
Au 0.500 0.750 0.750
Cd 0.000 0.035 0.975
Hg 0.500 0.250 0.250

(20)
A plane-wave DFT calculation with GGA-PBE was carried out for MnAl6Ga after structural relaxation.

The calculation puts the calculated formation energy at 0.09 eV/atom.

a = 4.575 Å, b = 4.575 Å, c = 7.529 Å
α = 72.23°, β = 72.23°, γ = 69.70°
Sites, in units of the cell vectors:
Ga 0.500 0.500 0.500
Al 0.921 0.416 0.707
Al 0.584 0.079 0.293
Mn 0.000 0.000 0.000
Al 0.661 0.661 0.038
Al 0.079 0.584 0.293
Al 0.339 0.339 0.962
Al 0.416 0.921 0.707